Material: MnTcOs2
Method: DFT, meta-GGA SCAN
State: single point on PBEsol structure

Properties
Size of the total moment: 3.3 Bohr magnetons per cell
Volume: 55.2 Å³ per cell
ΔH_f (0 K): 0.1900 eV per atom

Structure (CIF):
```
data_MnTcOs2
_cell_length_a 2.8220
_cell_length_b 4.4025
_cell_length_c 4.4446
_cell_angle_alpha 90.00
_cell_angle_beta 90.00
_cell_angle_gamma 90.00
_space_group_name_H-M_alt 'P m m m'
_space_group_IT_number 47
_space_group_name_Hall '-P 2 2'
loop_
_atom_site_label
_atom_site_fract_x
_atom_site_fract_y
_atom_site_fract_z
_atom_site_occupancy
Mn1 0.0000 0.0000 0.0000 1
Tc1 0.5000 0.0000 0.5000 1
Os1 0.0000 0.5000 0.5000 1
Os2 0.5000 0.5000 0.0000 1
```